{"formula": "Hf3SbRh", "functional": "PBE", "state": "optimized geometry", "lattice_angstrom": [[-2.014, -1.225, 4.380], [-0.080, -4.780, -1.374], [4.548, -0.626, 1.916]], "species": ["Sb", "Hf", "Hf", "Hf", "Rh"], "fractional_positions": [[0.500, 0.500, 0.500], [0.000, 0.500, 0.000], [0.000, 0.000, 0.500], [0.500, 0.000, 0.000], [0.000, 0.000, 0.000]], "polymorph_energy_mev_per_atom": 0, "vol_a3_per_atom": 24.62}